Entry 1:
! Ta3BrF PBE optimized geometry; values from VASP
! DOS at the Fermi energy ... 4.25 states/eV per cell
! Energy relative to the elements, uncorrected ... 792 meV/atom
! Symmetry ... No. 221
&SYSTEM
  ibrav = 0, nat = 5, ntyp = 3
/
ATOMIC_SPECIES
Br 79.90 Br.upf
Ta 180.95 Ta.upf
F 19.00 F.upf
ATOMIC_POSITIONS crystal
Br 0.500 0.500 0.500
Ta 0.000 0.000 0.500
Ta 0.000 0.500 0.000
Ta 0.500 0.000 0.000
F 0.000 0.000 0.000
CELL_PARAMETERS angstrom
4.434 0.000 0.000
0.000 4.434 0.000
0.000 0.000 4.434

=====

Entry 2:
! Ta2BrF PBE optimized geometry; values from VASP
! DOS at the Fermi energy ... 3.32 states/eV per cell
! Energy relative to the elements, uncorrected ... -31 meV/atom
! Symmetry ... No. 122
&SYSTEM
  ibrav = 0, nat = 8, ntyp = 3
/
ATOMIC_SPECIES
Ta 180.95 Ta.upf
Br 79.90 Br.upf
F 19.00 F.upf
ATOMIC_POSITIONS crystal
Ta 0.375 0.386 0.750
Ta 0.875 0.864 0.750
Ta 0.136 0.625 0.250
Ta 0.614 0.125 0.250
Br 0.000 0.000 0.000
Br 0.750 0.250 0.500
F 0.250 0.750 0.500
F 0.500 0.500 0.000
CELL_PARAMETERS angstrom
-1.485 2.242 -3.011
-3.276 0.807 2.217
1.535 8.486 2.855

=====

Entry 3:
! TaTl2Br4F2 PBE optimized geometry; values from VASP
! Energy relative to the elements, uncorrected ... -1465 meV/atom
! Symmetry ... No. 12
&SYSTEM
  ibrav = 0, nat = 9, ntyp = 4
/
ATOMIC_SPECIES
Ta 180.95 Ta.upf
Tl 204.38 Tl.upf
F 19.00 F.upf
Br 79.90 Br.upf
ATOMIC_POSITIONS crystal
Ta 0.500 0.000 0.000
Tl 0.251 0.655 0.655
Tl 0.749 0.345 0.345
F 0.268 0.119 0.119
F 0.732 0.881 0.881
Br 0.709 0.862 0.352
Br 0.291 0.648 0.138
Br 0.709 0.352 0.862
Br 0.291 0.138 0.648
CELL_PARAMETERS angstrom
-0.346 -0.388 -5.956
-6.050 -3.615 0.203
-5.760 4.053 -0.314

=====

Entry 4:
! TbBrF PBE optimized geometry; values from VASP
! DOS at the Fermi energy ... 1.28 states/eV per cell
! Energy relative to the elements, uncorrected ... -2449 meV/atom
! Symmetry ... No. 2
&SYSTEM
  ibrav = 0, nat = 6, ntyp = 3
/
ATOMIC_SPECIES
Br 79.90 Br.upf
F 19.00 F.upf
Tb 158.93 Tb.upf
ATOMIC_POSITIONS crystal
Br 0.360 0.040 0.277
Br 0.640 0.960 0.723
F 0.881 0.467 0.232
F 0.119 0.533 0.768
Tb 0.289 0.341 0.419
Tb 0.711 0.659 0.581
CELL_PARAMETERS angstrom
-3.018 0.670 -1.953
-0.660 -7.363 -1.504
-5.581 -6.051 3.196

=====

Entry 5:
! TbBrF2 PBE optimized geometry; values from VASP
! DOS at the Fermi energy ... 0.00 states/eV per cell
! Energy relative to the elements, uncorrected ... -3344 meV/atom
! Symmetry ... No. 63
&SYSTEM
  ibrav = 0, nat = 8, ntyp = 3
/
ATOMIC_SPECIES
Tb 158.93 Tb.upf
Br 79.90 Br.upf
F 19.00 F.upf
ATOMIC_POSITIONS crystal
Tb 0.758 0.515 0.750
Tb 0.242 0.485 0.250
Br 0.043 0.086 0.750
Br 0.957 0.914 0.250
F 0.311 0.623 0.930
F 0.689 0.377 0.070
F 0.311 0.623 0.570
F 0.689 0.377 0.430
CELL_PARAMETERS angstrom
3.797 0.000 0.000
-1.899 5.332 0.000
0.000 0.000 7.026

=====

Entry 6:
! TbBrF PBE optimized geometry; values from VASP
! DOS at the Fermi energy ... 1.34 states/eV per cell
! Energy relative to the elements, uncorrected ... -2361 meV/atom
! Symmetry ... No. 109
&SYSTEM
  ibrav = 0, nat = 6, ntyp = 3
/
ATOMIC_SPECIES
Tb 158.93 Tb.upf
Br 79.90 Br.upf
F 19.00 F.upf
ATOMIC_POSITIONS crystal
Tb 0.666 0.916 0.000
Tb 0.916 0.666 0.500
Br 0.083 0.333 0.833
Br 0.333 0.083 0.333
F 0.499 0.749 0.664
F 0.749 0.499 0.164
CELL_PARAMETERS angstrom
-2.184 -3.194 -0.870
1.654 -1.956 3.028
-5.174 5.050 3.491

=====

Entry 7:
! Tc2Br3F3 PBE optimized geometry; values from VASP
! DOS at the Fermi energy ... 0.90 states/eV per cell
! Energy relative to the elements, uncorrected ... -1099 meV/atom
! Symmetry ... No. 2
&SYSTEM
  ibrav = 0, nat = 16, ntyp = 3
/
ATOMIC_SPECIES
Br 79.90 Br.upf
F 19.00 F.upf
Tc 98.00 Tc.upf
ATOMIC_POSITIONS crystal
Br 0.700 0.680 0.904
Br 0.600 0.196 0.750
Br 0.034 0.321 0.404
Br 0.300 0.320 0.096
Br 0.966 0.679 0.596
Br 0.400 0.804 0.250
F 0.393 0.795 0.750
F 0.100 0.896 0.094
F 0.900 0.104 0.906
F 0.794 0.897 0.406
F 0.206 0.103 0.594
F 0.607 0.205 0.250
Tc 0.869 0.943 0.689
Tc 0.131 0.057 0.311
Tc 0.931 0.057 0.190
Tc 0.069 0.943 0.810
CELL_PARAMETERS angstrom
4.587 -0.026 0.623
-2.329 7.428 -0.318
2.812 -0.027 13.856

=====

Entry 8:
! Tc2Br3F PBE optimized geometry; values from VASP
! DOS at the Fermi energy ... 4.32 states/eV per cell
! Energy relative to the elements, uncorrected ... -499 meV/atom
! Symmetry ... No. 12
&SYSTEM
  ibrav = 0, nat = 12, ntyp = 3
/
ATOMIC_SPECIES
Br 79.90 Br.upf
Tc 98.00 Tc.upf
F 19.00 F.upf
ATOMIC_POSITIONS crystal
Br 0.951 0.856 0.242
Br 0.103 0.264 0.530
Br 0.327 0.286 0.060
Br 0.049 0.144 0.758
Br 0.673 0.714 0.940
Br 0.897 0.736 0.470
Tc 0.887 0.447 0.780
Tc 0.567 0.543 0.323
Tc 0.433 0.457 0.677
Tc 0.113 0.553 0.220
F 0.699 0.302 0.301
F 0.301 0.698 0.699
CELL_PARAMETERS angstrom
3.363 0.000 0.812
2.137 8.148 -1.483
-1.647 -3.617 14.195

=====

Q: The lowest energy relative to the elements, uncorrected belongs to which entry?
A: TbBrF2